1.
A plane-wave DFT calculation with PBE-GGA was carried out for a geometry-optimized Rb2Na4Ag structure.

## Properties
Volume (Å³ per cell): 709
Electronic total energy (eV/atom): -1.37
M_tot (μB per atom): 0.000
Formation energy (eV per formula unit): 0.49
SG: I4/mmm (139)

```
Rb2Na4Ag
1.0
5.901 0.000 0.000
0.000 5.901 0.000
0.000 0.000 20.349
Rb Na Ag
4 8 2
direct
0.000 0.000 0.151
0.000 0.000 0.849
0.500 0.500 0.349
0.500 0.500 0.651
0.000 0.000 0.357
0.000 0.000 0.643
0.000 0.500 0.000
0.000 0.500 0.500
0.500 0.000 0.000
0.500 0.000 0.500
0.500 0.500 0.143
0.500 0.500 0.857
0.000 0.000 0.500
0.500 0.500 0.000
```

---

2.
A plane-wave DFT calculation with PBE-GGA was carried out for a geometry-optimized Sr3LaCd4 structure.

## Properties
Volume (Å³ per cell): 261
Electronic total energy (eV/atom): -2.04
M_tot (μB per atom): 0.021
Formation energy (eV per formula unit): -2.65
SG: P4/mmm (123)

```
Sr3LaCd4
1.0
4.014 0.000 0.000
0.000 4.014 0.000
0.000 0.000 16.219
Sr La Cd
3 1 4
direct
0.000 0.000 0.000
0.000 0.000 0.254
0.000 0.000 0.746
0.000 0.000 0.500
0.500 0.500 0.127
0.500 0.500 0.385
0.500 0.500 0.615
0.500 0.500 0.873
```

---

3.
A plane-wave DFT calculation with PBE-GGA was carried out for a geometry-optimized TaGaTe2I structure.

## Properties
Volume (Å³ per cell): 150
Electronic total energy (eV/atom): -3.51
Offset from the most stable computed form (meV/atom): 878.3
M_tot (μB per atom): 0.444
SG: P4/mmm (123)
Energy relative to the elements, uncorrected (kJ/mol of atoms): 100.0

```
TaGaTe2I
1.0
5.314 0.000 0.000
0.000 5.314 0.000
0.000 0.000 5.304
Ta Ga Te I
1 1 2 1
direct
0.000 0.000 0.000
0.500 0.500 0.500
0.000 0.500 0.500
0.500 0.000 0.500
0.500 0.500 0.000
```

---

4.
A plane-wave DFT calculation with PBE-GGA was carried out for a geometry-optimized Ti2ZnRe structure.

## Properties
Volume (Å³ per cell): 62
Electronic total energy (eV/atom): -7.74
M_tot (μB per atom): 0.000
Formation energy (eV per formula unit): -1.44
SG: P4/mmm (123)

```
Ti2ZnRe
1.0
3.180 0.000 0.000
0.000 3.180 0.000
0.000 0.000 6.119
Ti Zn Re
2 1 1
direct
0.000 0.000 0.239
0.000 0.000 0.761
0.500 0.500 0.500
0.500 0.500 0.000
```

---

5.
A plane-wave DFT calculation with PBE-GGA was carried out for a geometry-optimized Ce5Co2Tc2 structure.

## Properties
Volume (Å³ per cell): 389
Electronic total energy (eV/atom): -7.26
M_tot (μB per atom): 0.000
Formation energy (eV per formula unit): -0.69
SG: Ima2 (46)

```
Ce5Co2Tc2
1.0
-8.504 3.274 3.490
8.504 -3.274 3.490
8.504 3.274 -3.490
Ce Co Tc
10 4 4
direct
0.169 0.070 0.239
0.169 0.430 0.599
0.206 0.530 0.983
0.206 0.723 0.176
0.547 0.030 0.824
0.547 0.223 0.017
0.630 0.501 0.629
0.831 0.570 0.401
0.831 0.930 0.761
0.872 0.001 0.371
0.052 0.813 0.739
0.074 0.313 0.261
0.292 0.292 0.000
0.292 0.792 0.500
0.582 0.097 0.337
0.582 0.745 0.985
0.760 0.245 0.663
0.760 0.597 0.015
```

---

6.
A plane-wave DFT calculation with PBE-GGA was carried out for a geometry-optimized Pm7Ir4Rh structure.

## Properties
Volume (Å³ per cell): 318
Electronic total energy (eV/atom): -6.94
M_tot (μB per atom): 0.000
Formation energy (eV per formula unit): -7.18
SG: Cm (8)

```
Pm7Ir4Rh
1.0
6.743 -2.008 0.000
6.743 2.008 0.000
-3.199 0.000 11.728
Pm Ir Rh
7 4 1
direct
0.000 0.000 0.000
0.216 0.216 0.858
0.298 0.298 0.427
0.515 0.515 0.286
0.601 0.601 0.597
0.760 0.760 0.145
0.913 0.913 0.688
0.257 0.257 0.642
0.374 0.374 0.066
0.556 0.556 0.832
0.957 0.957 0.449
0.142 0.142 0.221
```

---

7.
A plane-wave DFT calculation with PBE-GGA was carried out for a geometry-optimized SrLaSi2 structure.

## Properties
Volume (Å³ per cell): 240
Electronic total energy (eV/atom): -4.51
Offset from the most stable computed form (meV/atom): 435.5
M_tot (μB per atom): 0.000
SG: C2/m (12)
Energy relative to the elements, uncorrected (kJ/mol of atoms): -13.9

```
SrLaSi2
1.0
8.236 0.000 0.000
0.000 3.705 0.000
-1.597 0.000 7.859
Sr La Si
2 2 4
direct
0.000 0.000 0.000
0.500 0.500 0.000
0.000 0.500 0.500
0.500 0.000 0.500
0.249 0.000 0.732
0.251 0.500 0.268
0.749 0.500 0.732
0.751 0.000 0.268
```

---

8.
A plane-wave DFT calculation with PBE-GGA was carried out for a geometry-optimized Ce2PaRuN5 structure.

## Properties
Volume (Å³ per cell): 240
Electronic total energy (eV/atom): -8.90
M_tot (μB per atom): 0.002
SG: P4/mbm (127)
Energy relative to the elements, uncorrected (kJ/mol of atoms): -84.4

```
Ce2PaRuN5
1.0
6.446 0.000 0.000
0.000 6.446 0.000
0.000 0.000 5.783
Ce Pa Ru N
4 2 2 10
direct
0.164 0.336 0.000
0.336 0.836 0.000
0.664 0.164 0.000
0.836 0.664 0.000
0.000 0.000 0.500
0.500 0.500 0.500
0.000 0.500 0.500
0.500 0.000 0.500
0.000 0.000 0.000
0.163 0.663 0.275
0.163 0.663 0.725
0.337 0.163 0.275
0.337 0.163 0.725
0.500 0.500 0.000
0.663 0.837 0.275
0.663 0.837 0.725
0.837 0.337 0.275
0.837 0.337 0.725
```

---

9.
A plane-wave DFT calculation with PBE-GGA was carried out for a geometry-optimized Tb4HgTe2S structure.

## Properties
Volume (Å³ per cell): 219
Electronic total energy (eV/atom): -4.91
M_tot (μB per atom): 0.000
SG: P2/m (10)
Energy relative to the elements, uncorrected (kJ/mol of atoms): -121.1

```
Tb4HgTe2S
1.0
7.438 0.000 0.000
0.000 4.131 0.000
-2.315 0.000 7.134
Tb Hg Te S
4 1 2 1
direct
0.229 0.000 0.218
0.250 0.500 0.766
0.750 0.500 0.234
0.771 0.000 0.782
0.500 0.000 0.000
0.000 0.000 0.500
0.500 0.500 0.500
0.000 0.500 0.000
```

---

10.
A plane-wave DFT calculation with PBE-GGA was carried out for a geometry-optimized Si2PPt2 structure.

## Properties
Volume (Å³ per cell): 176
Electronic total energy (eV/atom): -5.80
M_tot (μB per atom): 0.000
SG: P4/nmm (129)
Energy relative to the elements, uncorrected (kJ/mol of atoms): -13.1

```
Si2PPt2
1.0
4.087 0.000 0.000
0.000 4.087 0.000
0.000 0.000 10.508
Si P Pt
4 2 4
direct
0.250 0.250 0.149
0.250 0.750 0.500
0.750 0.250 0.500
0.750 0.750 0.851
0.250 0.250 0.837
0.750 0.750 0.163
0.250 0.250 0.376
0.250 0.750 0.000
0.750 0.250 0.000
0.750 0.750 0.624
```

---

11.
A plane-wave DFT calculation with PBE-GGA was carried out for a geometry-optimized BeTe2Ir structure.

## Properties
Volume (Å³ per cell): 335
Electronic total energy (eV/atom): -4.26
M_tot (μB per atom): 0.000
SG: Fmmm (69)
Energy relative to the elements, uncorrected (kJ/mol of atoms): 44.6

```
BeTe2Ir
1.0
5.925 0.000 0.000
0.000 7.482 0.000
0.000 0.000 7.562
Be Te Ir
4 8 4
direct
0.000 0.000 0.000
0.000 0.500 0.500
0.500 0.000 0.500
0.500 0.500 0.000
0.000 0.250 0.250
0.000 0.250 0.750
0.000 0.750 0.250
0.000 0.750 0.750
0.500 0.250 0.250
0.500 0.250 0.750
0.500 0.750 0.250
0.500 0.750 0.750
0.000 0.000 0.500
0.000 0.500 0.000
0.500 0.000 0.000
0.500 0.500 0.500
```

---

12.
A plane-wave DFT calculation with PBE-GGA was carried out for a geometry-optimized Al4AgP structure.

## Properties
Volume (Å³ per cell): 106
Electronic total energy (eV/atom): -3.53
M_tot (μB per atom): 0.000
Formation energy (eV per formula unit): 2.07
SG: F-43m (216)

```
Al4AgP
1.0
0.000 3.757 3.757
3.757 0.000 3.757
3.757 3.757 0.000
Al Ag P
4 1 1
direct
0.125 0.125 0.125
0.125 0.125 0.624
0.125 0.624 0.125
0.624 0.125 0.125
0.500 0.500 0.500
0.750 0.750 0.750
```